Entry from the Alexandria database: Pa2Cd after structural relaxation (PBE).

POSCAR file:
```
Pa2Cd
1.0
-1.881 1.881 5.265
1.881 -1.881 5.265
1.881 1.881 -5.265
Pa Cd
2 1
Cartesian
0.000 0.000 1.994
0.000 0.000 8.537
0.000 0.000 5.265
```

Summary:
Symmetry: No. 139
Formation enthalpy at 0 K: 292 meV per atom


Entry from the Alexandria database: PaCd4Pb after structural relaxation (PBE).

POSCAR file:
```
PaCd4Pb
1.0
0.000 4.234 4.234
4.234 0.000 4.234
4.234 4.234 0.000
Pa Cd Pb
1 4 1
Cartesian
0.000 0.000 0.000
3.173 3.173 3.173
5.294 5.294 3.173
5.294 3.173 5.294
3.173 5.294 5.294
6.350 6.350 6.350
```

Summary:
Symmetry: No. 216
Formation enthalpy at 0 K: 214 meV per atom


Entry from the Alexandria database: PaCdPb after structural relaxation (PBE).

POSCAR file:
```
PaCdPb
1.0
5.342 0.000 0.000
-2.671 4.627 0.000
0.000 0.000 3.139
Pa Cd Pb
1 1 1
Cartesian
0.000 0.000 0.000
0.000 3.084 1.574
2.671 1.542 1.565
```

Summary:
Symmetry: No. 156
Formation enthalpy at 0 K: 170 meV per atom


Entry from the Alexandria database: PaCdPb after structural relaxation (PBE).

POSCAR file:
```
PaCdPb
1.0
3.218 0.000 0.000
0.001 5.665 0.000
1.608 2.806 8.675
Pa Cd Pb
2 2 2
Cartesian
0.000 0.000 0.000
3.217 5.622 8.673
1.608 4.654 5.897
3.223 1.855 2.775
1.614 4.688 2.875
3.219 7.491 5.798
```

Summary:
Symmetry: No. 1
Formation enthalpy at 0 K: 74 meV per atom


Entry from the Alexandria database: PaCdPb after structural relaxation (PBE).

POSCAR file:
```
PaCdPb
1.0
-1.601 1.601 7.741
1.601 -1.601 7.741
1.601 1.601 -7.741
Pa Cd Pb
1 1 1
Cartesian
0.000 0.000 0.000
0.000 0.000 5.286
0.000 0.000 10.363
```

Summary:
Symmetry: No. 107
Formation enthalpy at 0 K: 181 meV per atom


Entry from the Alexandria database: PaCdPbS4 after structural relaxation (PBE).

POSCAR file:
```
PaCdPbS4
1.0
-4.174 4.660 4.728
4.174 -4.660 4.728
4.174 4.660 -4.728
Pa Cd Pb S
2 2 2 8
Cartesian
-2.087 2.330 2.364
2.087 2.330 2.364
0.000 0.000 0.000
0.000 4.660 0.000
4.174 2.330 -1.752
0.000 2.330 6.480
1.716 2.330 -0.298
2.458 -2.330 4.430
4.174 0.566 2.129
0.000 0.566 2.599
4.174 4.094 2.129
0.000 4.094 2.599
1.716 6.990 0.298
2.458 2.330 5.025
```

Summary:
Symmetry: No. 74
Energy relative to the elements, uncorrected: -0.93 eV per atom


Entry from the Alexandria database: ScPaCdPb after structural relaxation (PBE).

POSCAR file:
```
ScPaCdPb
1.0
0.000 3.708 3.708
3.708 0.000 3.708
3.708 3.708 0.000
Sc Pa Cd Pb
1 1 1 1
Cartesian
0.000 0.000 0.000
3.708 3.708 3.708
5.562 5.562 5.562
1.854 1.854 1.854
```

Summary:
Symmetry: No. 216
Formation enthalpy at 0 K: 50 meV per atom


Entry from the Alexandria database: PaCdPd after structural relaxation (PBE).

POSCAR file:
```
PaCdPd
1.0
-1.622 1.622 6.034
1.622 -1.622 6.034
1.622 1.622 -6.034
Pa Cd Pd
1 1 1
Cartesian
0.000 0.000 0.000
0.000 0.000 8.459
0.000 0.000 4.219
```

Summary:
Symmetry: No. 107
Formation enthalpy at 0 K: -275 meV per atom


Entry from the Alexandria database: PaCdPd after structural relaxation (PBE).

POSCAR file:
```
PaCdPd
1.0
3.117 0.000 0.000
-1.559 2.700 0.000
0.000 0.000 7.485
Pa Cd Pd
1 1 1
Cartesian
0.000 0.000 0.000
0.000 1.800 4.645
1.559 0.900 2.396
```

Summary:
Symmetry: No. 156
Formation enthalpy at 0 K: -158 meV per atom


Entry from the Alexandria database: Pa2CdPd7 after structural relaxation (PBE).

POSCAR file:
```
Pa2CdPd7
1.0
3.648 -7.231 0.000
3.648 7.231 0.000
0.000 0.000 4.178
Pa Cd Pd
2 1 7
Cartesian
3.648 4.473 0.000
3.648 -4.473 0.000
3.648 0.000 2.089
0.000 0.000 0.000
2.267 1.537 0.000
3.648 2.786 2.089
2.267 -1.537 0.000
5.029 1.537 0.000
3.648 -2.786 2.089
5.029 -1.537 0.000
```

Summary:
Symmetry: No. 65
Formation enthalpy at 0 K: -133 meV per atom


Entry from the Alexandria database: PaCdPd2 after structural relaxation (PBE).

POSCAR file:
```
PaCdPd2
1.0
3.222 0.000 0.000
0.000 3.222 0.000
0.000 0.000 7.460
Pa Cd Pd
1 1 2
Cartesian
0.000 0.000 0.000
0.000 0.000 3.730
1.611 1.611 1.945
1.611 1.611 5.515
```

Summary:
Symmetry: No. 123
Formation enthalpy at 0 K: -464 meV per atom


Entry from the Alexandria database: PaCd2Pd5 after structural relaxation (PBE).

POSCAR file:
```
PaCd2Pd5
1.0
-2.098 2.098 8.064
2.098 -2.098 8.064
2.098 2.098 -8.064
Pa Cd Pd
1 2 5
Cartesian
0.000 0.000 0.000
0.000 0.000 4.113
0.000 0.000 12.015
2.098 0.000 1.965
2.098 0.000 6.099
0.000 0.000 8.064
0.000 2.098 1.965
0.000 2.098 6.099
```

Summary:
Symmetry: No. 139
Formation enthalpy at 0 K: -606 meV per atom